A:
Rb2ScAu | PBE | optimized geometry

Unit cell a=6.1271 b=6.1271 c=6.1271 alpha=60.00 beta=60.00 gamma=60.00
Fractional coordinates of all 4 atoms:
1 Sc 0.0000 0.0000 0.0000
2 Au 0.5000 0.5000 0.5000
3 Rb 0.2500 0.2500 0.2500
4 Rb 0.7500 0.7500 0.7500

Calculated values
**Space group**: No. 225
**Density**: 4.2 g/cm³
**Crystal system**: cubic
**Calculated volume**: 162.65 Å³ per cell



B:
Rb2ScAu | PBE | optimized geometry

Unit cell a=12.6559 b=12.6559 c=9.3338 alpha=47.32 beta=47.32 gamma=90.00
Fractional coordinates of all 8 atoms:
1 Sc 0.5000 0.5000 0.0000
2 Sc 0.2500 0.7500 0.5000
3 Au 0.0000 0.0000 0.0000
4 Au 0.7500 0.2500 0.5000
5 Rb 0.7732 0.1250 0.2500
6 Rb 0.9768 0.6250 0.2500
7 Rb 0.3750 0.2268 0.7500
8 Rb 0.8750 0.0232 0.7500

Calculated values
**Space group**: No. 122
**Density**: 3.2 g/cm³
**Crystal system**: tetragonal
**Calculated volume**: 424.82 Å³ per cell



Energetically preferred structure: B | next structure: +350 meV/atom



A:
RbScAu2 | PBE | optimized geometry

Unit cell a=8.1019 b=8.1019 c=6.8957 alpha=54.02 beta=54.02 gamma=90.00
Fractional coordinates of all 8 atoms:
1 Sc 0.5000 0.5000 0.0000
2 Sc 0.2500 0.7500 0.5000
3 Au 0.5556 0.1250 0.2500
4 Au 0.1944 0.6250 0.2500
5 Au 0.3750 0.4444 0.7500
6 Au 0.8750 0.8056 0.7500
7 Rb 0.0000 0.0000 0.0000
8 Rb 0.7500 0.2500 0.5000

Calculated values
**Space group**: No. 122
**Density**: 6.9 g/cm³
**Crystal system**: tetragonal
**Calculated volume**: 251.93 Å³ per cell



B:
RbScAu2 | PBE | optimized geometry

Unit cell a=3.5368 b=3.5368 c=8.3467 alpha=90.00 beta=90.00 gamma=90.00
Fractional coordinates of all 4 atoms:
1 Sc 0.5000 0.5000 0.0000
2 Au 0.0000 0.0000 0.8243
3 Au 0.0000 0.0000 0.1757
4 Rb 0.5000 0.5000 0.5000

Calculated values
**Space group**: No. 123
**Density**: 8.3 g/cm³
**Crystal system**: tetragonal
**Calculated volume**: 104.41 Å³ per cell



C:
RbScAu2 | PBE | optimized geometry

Unit cell a=5.2050 b=5.2050 c=5.2050 alpha=60.00 beta=60.00 gamma=60.00
Fractional coordinates of all 4 atoms:
1 Sc 0.0000 0.0000 0.0000
2 Au 0.2500 0.2500 0.2500
3 Au 0.7500 0.7500 0.7500
4 Rb 0.5000 0.5000 0.5000

Calculated values
**Space group**: No. 225
**Density**: 8.7 g/cm³
**Crystal system**: cubic
**Calculated volume**: 99.71 Å³ per cell



Energetically preferred structure: B | next structure: +401 meV/atom



A:
RbScAu3 | PBE | optimized geometry

Unit cell a=5.6425 b=5.6425 c=5.6425 alpha=90.00 beta=90.00 gamma=90.00
Fractional coordinates of all 5 atoms:
1 Sc 0.5000 0.5000 0.5000
2 Au 0.0000 0.5000 0.0000
3 Au 0.0000 0.0000 0.5000
4 Au 0.5000 0.0000 0.0000
5 Rb 0.0000 0.0000 0.0000

Calculated values
**Space group**: No. 221
**Density**: 6.7 g/cm³
**Crystal system**: cubic
**Calculated volume**: 179.64 Å³ per cell



B:
RbScAu3 | PBE | optimized geometry

Unit cell a=5.3680 b=5.3680 c=5.3680 alpha=90.00 beta=90.00 gamma=90.00
Fractional coordinates of all 5 atoms:
1 Sc 0.0000 0.0000 0.0000
2 Au 0.0000 0.5000 0.0000
3 Au 0.0000 0.0000 0.5000
4 Au 0.5000 0.0000 0.0000
5 Rb 0.5000 0.5000 0.5000

Calculated values
**Space group**: No. 221
**Density**: 7.7 g/cm³
**Crystal system**: cubic
**Calculated volume**: 154.68 Å³ per cell



Energetically preferred structure: B | next structure: +1234 meV/atom



A:
Rb3AuSe | PBE | optimized geometry

Unit cell a=6.5310 b=6.5310 c=6.5310 alpha=90.00 beta=90.00 gamma=90.00
Fractional coordinates of all 5 atoms:
1 Au 0.5000 0.5000 0.5000
2 Se 0.0000 0.0000 0.0000
3 Rb 0.0000 0.5000 0.0000
4 Rb 0.0000 0.0000 0.5000
5 Rb 0.5000 0.0000 0.0000

Calculated values
**Space group**: No. 221
**Density**: 3.2 g/cm³
**Crystal system**: cubic
**Calculated volume**: 278.57 Å³ per cell



B:
Rb3AuSe | PBE | optimized geometry

Unit cell a=4.9270 b=9.2275 c=9.7729 alpha=95.28 beta=90.06 gamma=105.65
Fractional coordinates of all 10 atoms:
1 Rb 0.0808 0.1984 0.3541
2 Rb 0.4185 0.8686 0.6314
3 Rb 0.6254 0.2856 0.7902
4 Rb 0.9633 0.9556 0.0674
5 Rb 0.2579 0.5491 0.0419
6 Rb 0.7861 0.6050 0.3796
7 Au 0.2272 0.4879 0.6587
8 Au 0.8167 0.6663 0.7628
9 Se 0.4132 0.8567 0.2990
10 Se 0.6308 0.2974 0.1225

Calculated values
**Space group**: No. 2
**Density**: 4.2 g/cm³
**Crystal system**: triclinic
**Calculated volume**: 425.87 Å³ per cell



Energetically preferred structure: B | next structure: +38 meV/atom



A:
RbSi2Au2 | PBE | optimized geometry

Unit cell a=4.2371 b=4.2371 c=8.5154 alpha=75.73 beta=75.73 gamma=61.44
Fractional coordinates of all 5 atoms:
1 Rb 0.5000 0.0000 0.0000
2 Si 0.9471 0.4471 0.6437
3 Si 0.0529 0.5529 0.3563
4 Au 0.7242 0.2242 0.3238
5 Au 0.2758 0.7758 0.6762

Calculated values
**Space group**: No. 12
**Density**: 6.9 g/cm³
**Crystal system**: monoclinic
**Calculated volume**: 128.64 Å³ per cell



B:
RbSi2Au2 | PBE | optimized geometry

Unit cell a=4.5905 b=4.5905 c=6.1115 alpha=67.94 beta=67.94 gamma=90.00
Fractional coordinates of all 5 atoms:
1 Si 0.3726 0.3726 0.2547
2 Si 0.6274 0.6274 0.7453
3 Au 0.7500 0.2500 0.5000
4 Au 0.2500 0.7500 0.5000
5 Rb 0.0000 0.0000 0.0000

Calculated values
**Space group**: No. 139
**Density**: 8.2 g/cm³
**Crystal system**: tetragonal
**Calculated volume**: 109.12 Å³ per cell



C:
RbSi2Au2 | PBE | optimized geometry

Unit cell a=4.6335 b=4.6335 c=6.8839 alpha=70.33 beta=70.33 gamma=90.00
Fractional coordinates of all 5 atoms:
1 Si 0.7500 0.2500 0.5000
2 Si 0.2500 0.7500 0.5000
3 Au 0.3305 0.3305 0.3390
4 Au 0.6695 0.6695 0.6610
5 Rb 0.0000 0.0000 0.0000

Calculated values
**Space group**: No. 139
**Density**: 6.8 g/cm³
**Crystal system**: tetragonal
**Calculated volume**: 129.98 Å³ per cell



Energetically preferred structure: A | next structure: +25 meV/atom



A:
Rb2SiAu2 | PBE | optimized geometry

Unit cell a=7.0899 b=6.7267 c=7.8404 alpha=81.55 beta=90.00 gamma=121.80
Fractional coordinates of all 10 atoms:
1 Rb 0.7330 0.6902 0.1352
2 Rb 0.0428 0.3098 0.3648
3 Rb 0.2670 0.3098 0.8648
4 Rb 0.9572 0.6902 0.6352
5 Si 0.5516 0.0000 0.7500
6 Si 0.4484 0.0000 0.2500
7 Au 0.4752 0.2169 0.4921
8 Au 0.2583 0.7831 0.0079
9 Au 0.5248 0.7831 0.5079
10 Au 0.7417 0.2169 0.9921

Calculated values
**Space group**: No. 15
**Density**: 6.3 g/cm³
**Crystal system**: monoclinic
**Calculated volume**: 313.00 Å³ per cell



B:
Rb2SiAu2 | PBE | optimized geometry

Unit cell a=7.0937 b=7.0937 c=5.8590 alpha=90.00 beta=90.00 gamma=90.00
Fractional coordinates of all 10 atoms:
1 Si 0.0000 0.0000 0.0000
2 Si 0.5000 0.5000 0.0000
3 Au 0.3007 0.8007 0.0000
4 Au 0.8007 0.6993 0.0000
5 Au 0.6993 0.1993 0.0000
6 Au 0.1993 0.3007 0.0000
7 Rb 0.1627 0.6627 0.5000
8 Rb 0.6627 0.8373 0.5000
9 Rb 0.8373 0.3373 0.5000
10 Rb 0.3373 0.1627 0.5000

Calculated values
**Space group**: No. 127
**Density**: 6.7 g/cm³
**Crystal system**: tetragonal
**Calculated volume**: 294.83 Å³ per cell



Energetically preferred structure: A | next structure: +130 meV/atom



A:
RbSi3Au | PBE | optimized geometry

Unit cell a=5.3993 b=5.3993 c=5.3993 alpha=90.00 beta=90.00 gamma=90.00
Fractional coordinates of all 5 atoms:
1 Si 0.0000 0.5000 0.0000
2 Si 0.0000 0.0000 0.5000
3 Si 0.5000 0.0000 0.0000
4 Au 0.5000 0.5000 0.5000
5 Rb 0.0000 0.0000 0.0000

Calculated values
**Space group**: No. 221
**Density**: 3.9 g/cm³
**Crystal system**: cubic
**Calculated volume**: 157.40 Å³ per cell



B:
RbSi3Au | PBE | optimized geometry

Unit cell a=5.1016 b=5.1016 c=5.1016 alpha=90.00 beta=90.00 gamma=90.00
Fractional coordinates of all 5 atoms:
1 Si 0.0000 0.5000 0.0000
2 Si 0.0000 0.0000 0.5000
3 Si 0.5000 0.0000 0.0000
4 Au 0.0000 0.0000 0.0000
5 Rb 0.5000 0.5000 0.5000

Calculated values
**Space group**: No. 221
**Density**: 4.6 g/cm³
**Crystal system**: cubic
**Calculated volume**: 132.78 Å³ per cell



Energetically preferred structure: B | next structure: +1583 meV/atom



A:
Rb3SiAu | PBE | optimized geometry

Unit cell a=6.4710 b=6.4710 c=6.4710 alpha=90.00 beta=90.00 gamma=90.00
Fractional coordinates of all 5 atoms:
1 Si 0.5000 0.5000 0.5000
2 Au 0.0000 0.0000 0.0000
3 Rb 0.0000 0.5000 0.0000
4 Rb 0.0000 0.0000 0.5000
5 Rb 0.5000 0.0000 0.0000

Calculated values
**Space group**: No. 221
**Density**: 3.0 g/cm³
**Crystal system**: cubic
**Calculated volume**: 270.96 Å³ per cell



B:
Rb3SiAu | PBE | optimized geometry

Unit cell a=9.5752 b=9.5752 c=7.6120 alpha=113.53 beta=116.24 gamma=109.34
Fractional coordinates of all 10 atoms:
1 Rb 0.8042 0.0284 0.2279
2 Rb 0.1996 0.4238 0.2279
3 Rb 0.8004 0.5762 0.7721
4 Rb 0.6861 0.4115 0.0976
5 Rb 0.1958 0.9716 0.7721
6 Rb 0.3139 0.5885 0.9024
7 Si 0.6317 0.0266 0.6583
8 Si 0.3683 0.9734 0.3417
9 Au 0.7071 0.8070 0.5141
10 Au 0.2929 0.1930 0.4859

Calculated values
**Space group**: No. 12
**Density**: 3.5 g/cm³
**Crystal system**: monoclinic
**Calculated volume**: 451.52 Å³ per cell



Energetically preferred structure: B | next structure: +325 meV/atom



A:
RbSnAu | PBE | optimized geometry

Unit cell a=3.8523 b=3.8523 c=7.0063 alpha=105.96 beta=105.96 gamma=90.00
Fractional coordinates of all 3 atoms:
1 Au 0.7142 0.7142 0.4284
2 Sn 0.2838 0.2838 0.5677
3 Rb 0.0020 0.0020 0.0040

Calculated values
**Space group**: No. 107
**Density**: 7.0 g/cm³
**Crystal system**: tetragonal
**Calculated volume**: 95.80 Å³ per cell



B:
RbSnAu | PBE | optimized geometry

Unit cell a=4.8298 b=6.8072 c=6.6082 alpha=84.11 beta=68.43 gamma=89.91
Fractional coordinates of all 6 atoms:
1 Rb 0.0849 0.4504 0.1035
2 Rb 0.3344 0.1777 0.6050
3 Sn 0.6200 0.9494 0.0347
4 Sn 0.7993 0.6788 0.6738
5 Au 0.0109 0.9120 0.2515
6 Au 0.4084 0.7161 0.4571

Calculated values
**Space group**: No. 2
**Density**: 6.6 g/cm³
**Crystal system**: triclinic
**Calculated volume**: 200.82 Å³ per cell



C:
RbSnAu | PBE | optimized geometry

Unit cell a=7.3054 b=8.7152 c=7.4823 alpha=91.45 beta=85.38 gamma=114.63
Fractional coordinates of all 12 atoms:
1 Au 0.3517 0.8702 0.0901
2 Au 0.6390 0.3959 0.6751
3 Au 0.6483 0.1298 0.9099
4 Au 0.3610 0.6041 0.3249
5 Rb 0.2420 0.8674 0.6253
6 Rb 0.7098 0.7526 0.9237
7 Rb 0.7580 0.1326 0.3747
8 Rb 0.2902 0.2474 0.0763
9 Sn 0.0148 0.5809 0.1768
10 Sn 0.7339 0.6624 0.4338
11 Sn 0.9852 0.4191 0.8232
12 Sn 0.2661 0.3376 0.5662

Calculated values
**Space group**: No. 2
**Density**: 6.2 g/cm³
**Crystal system**: triclinic
**Calculated volume**: 431.62 Å³ per cell



D:
RbSnAu | PBE | optimized geometry

Unit cell a=5.0979 b=8.3839 c=9.9496 alpha=90.00 beta=90.00 gamma=90.00
Fractional coordinates of all 12 atoms:
1 Rb 0.7500 0.4038 0.3566
2 Rb 0.7500 0.9038 0.1434
3 Rb 0.2500 0.0962 0.8566
4 Rb 0.2500 0.5962 0.6434
5 Sn 0.7500 0.0255 0.5786
6 Sn 0.7500 0.5255 0.9214
7 Sn 0.2500 0.4745 0.0786
8 Sn 0.2500 0.9745 0.4214
9 Au 0.2500 0.6920 0.2842
10 Au 0.7500 0.3080 0.7158
11 Au 0.7500 0.8080 0.7842
12 Au 0.2500 0.1920 0.2158

Calculated values
**Space group**: No. 62
**Density**: 6.3 g/cm³
**Crystal system**: orthorhombic
**Calculated volume**: 425.25 Å³ per cell



Energetically preferred structure: D | next structure: +26 meV/atom



A:
RbSnAu3 | PBE | optimized geometry

Unit cell a=5.3628 b=7.0008 c=8.2343 alpha=67.57 beta=87.78 gamma=94.20
Fractional coordinates of all 10 atoms:
1 Rb 0.3485 0.2874 0.2450
2 Rb 0.3519 0.4921 0.6958
3 Sn 0.9506 0.7129 0.2522
4 Sn 0.7425 0.9510 0.7799
5 Au 0.8436 0.3184 0.4890
6 Au 0.2425 0.9091 0.8888
7 Au 0.4527 0.8199 0.2263
8 Au 0.7897 0.9405 0.4414
9 Au 0.8515 0.1411 0.0236
10 Au 0.8745 0.5479 0.9743

Calculated values
**Space group**: No. 1
**Density**: 9.3 g/cm³
**Crystal system**: triclinic
**Calculated volume**: 284.25 Å³ per cell



B:
RbSnAu3 | PBE | optimized geometry

Unit cell a=5.7400 b=5.7400 c=5.7400 alpha=90.00 beta=90.00 gamma=90.00
Fractional coordinates of all 5 atoms:
1 Au 0.0000 0.5000 0.0000
2 Au 0.0000 0.0000 0.5000
3 Au 0.5000 0.0000 0.0000
4 Sn 0.5000 0.5000 0.5000
5 Rb 0.0000 0.0000 0.0000

Calculated values
**Space group**: No. 221
**Density**: 7.0 g/cm³
**Crystal system**: cubic
**Calculated volume**: 189.12 Å³ per cell



C:
RbSnAu3 | PBE | optimized geometry

Unit cell a=5.3674 b=5.3674 c=5.3674 alpha=90.00 beta=90.00 gamma=90.00
Fractional coordinates of all 5 atoms:
1 Au 0.0000 0.5000 0.0000
2 Au 0.0000 0.0000 0.5000
3 Au 0.5000 0.0000 0.0000
4 Sn 0.0000 0.0000 0.0000
5 Rb 0.5000 0.5000 0.5000

Calculated values
**Space group**: No. 221
**Density**: 8.5 g/cm³
**Crystal system**: cubic
**Calculated volume**: 154.63 Å³ per cell



Energetically preferred structure: A | next structure: +53 meV/atom